No. 1
VASP calculation (PBE) on an optimized crystal structure of Co2CuN2.

Properties
DOS at the Fermi energy = 0.591 states/eV/atom
SG = I4/mmm, No. 139
E = -66.26 eV for the cell shown

a b c (Å): 2.802 2.802 12.064
angles (deg): 90.00 90.00 90.00
Positions (direct):
N: 0.500 0.250 0.344
N: 0.000 0.750 0.844
N: 0.000 0.750 0.156
N: 0.500 0.250 0.656
Co: 0.500 0.250 0.816
Co: 0.000 0.750 0.684
Co: 0.000 0.750 0.316
Co: 0.500 0.250 0.184
Cu: 0.000 0.750 0.000
Cu: 0.500 0.250 0.500

No. 2
VASP calculation (PBE) on an optimized crystal structure of La3CdO.

Properties
DOS at the Fermi energy = 0.715 states/eV/atom
SG = Pm-3m, No. 221
E = -27.19 eV for the cell shown

a b c (Å): 5.091 5.091 5.091
angles (deg): 90.00 90.00 90.00
Positions (direct):
O: 0.000 0.000 0.000
Cd: 0.500 0.500 0.500
La: 0.000 0.500 0.000
La: 0.500 0.000 0.000
La: 0.000 0.000 0.500

Question: What is the E in the first record?
Answer: -66.26 eV for the cell shown